DFT (PBE) results for a geometry-optimized Np2Al2Ga4Fe structure.

The space group is I4/mmm (No. 139) and the conventional cell measures 6.167, 6.167 and 8.637 Å, with angles of 90.00, 90.00 and 90.00 degrees. The inequivalent atoms are Np at (0.000, 0.500, 0.250), Al at (0.000, 0.000, 0.223), Ga at (0.224, 0.224, 0.000) and Fe at (0.000, 0.000, 0.500).

The calculation puts the density of states at the Fermi level at 1.87 states/eV/atom. As for the total magnetization: 9.85 μB/f.u. As for the formation energy: -0.170 eV/atom. The crystal system is tetragonal.